Below is KBaLa2 after structural relaxation, with properties calculated at the PBE level.

The structure in CIF format:
```
data_KBaLa2
_chemical_formula_sum 'K1 Ba1 La2'
_space_group_name_H-M_alt 'P 1'
_space_group_IT_number 1
_cell_length_a 7.945
_cell_length_b 7.945
_cell_length_c 7.945
_cell_angle_alpha 150.47
_cell_angle_beta 131.49
_cell_angle_gamma 57.82
loop_
_space_group_symop_operation_xyz
'x,y,z'
loop_
_atom_site_label
_atom_site_type_symbol
_atom_site_fract_x
_atom_site_fract_y
_atom_site_fract_z
Ba1 Ba 0.750 0.250 0.500
K1 K 0.250 0.750 0.500
La1 La 0.997 0.997 0.000
La2 La 0.503 0.503 0.000
```

energy above the lowest structure with this stoichiometry	0.1802	eV per atom
total DFT energy (no corrections)	-11.536	eV/cell

=====

Below is RbPdI after structural relaxation, with properties calculated at the PBE level.

The structure in CIF format:
```
data_RbPdI
_chemical_formula_sum 'Rb2 Pd2 I2'
_space_group_name_H-M_alt 'P 1'
_space_group_IT_number 1
_cell_length_a 6.180
_cell_length_b 6.180
_cell_length_c 10.235
_cell_angle_alpha 90.00
_cell_angle_beta 90.00
_cell_angle_gamma 120.00
loop_
_space_group_symop_operation_xyz
'x,y,z'
loop_
_atom_site_label
_atom_site_type_symbol
_atom_site_fract_x
_atom_site_fract_y
_atom_site_fract_z
I1 I 0.000 0.000 0.250
I2 I 0.000 0.000 0.750
Rb1 Rb 0.333 0.667 0.250
Rb2 Rb 0.667 0.333 0.750
Pd1 Pd 0.000 0.000 0.000
Pd2 Pd 0.000 0.000 0.500
```

energy above the lowest structure with this stoichiometry	0.2429	eV per atom
E_form (uncorrected)	-0.429	eV/atom
total DFT energy (no corrections)	-17.998	eV/cell

=====

Below is NpTa2C after structural relaxation, with properties calculated at the PBE level.

The structure in CIF format:
```
data_NpTa2C
_chemical_formula_sum 'Np1 Ta2 C1'
_space_group_name_H-M_alt 'P 1'
_space_group_IT_number 1
_cell_length_a 3.070
_cell_length_b 3.070
_cell_length_c 8.654
_cell_angle_alpha 79.78
_cell_angle_beta 79.78
_cell_angle_gamma 60.00
loop_
_space_group_symop_operation_xyz
'x,y,z'
loop_
_atom_site_label
_atom_site_type_symbol
_atom_site_fract_x
_atom_site_fract_y
_atom_site_fract_z
Np1 Np 0.000 0.000 0.000
C1 C 0.500 0.500 0.500
Ta1 Ta 0.117 0.117 0.648
Ta2 Ta 0.883 0.883 0.352
```

total DFT energy (no corrections)	-45.298	eV/cell

=====

Below is KHfI2Br after structural relaxation, with properties calculated at the PBE level.

The structure in CIF format:
```
data_KHfI2Br
_chemical_formula_sum 'K1 Hf1 I2 Br1'
_space_group_name_H-M_alt 'P 1'
_space_group_IT_number 1
_cell_length_a 7.055
_cell_length_b 4.915
_cell_length_c 7.055
_cell_angle_alpha 90.00
_cell_angle_beta 90.00
_cell_angle_gamma 90.00
loop_
_space_group_symop_operation_xyz
'x,y,z'
loop_
_atom_site_label
_atom_site_type_symbol
_atom_site_fract_x
_atom_site_fract_y
_atom_site_fract_z
I1 I 0.000 0.000 0.500
I2 I 0.500 0.000 0.000
K1 K 0.500 0.500 0.500
Hf1 Hf 0.000 0.500 0.000
Br1 Br 0.000 0.000 0.000
```

E_form (uncorrected)	-0.018	eV/atom
total DFT energy (no corrections)	-15.914	eV/cell

=====

Number 1: Fermi-level density of states 6.044 states/eV/cell. Number 2: Fermi-level density of states 0.000 states/eV/cell. Number 3: Fermi-level density of states 5.573 states/eV/cell. Number 4: Fermi-level density of states 6.138 states/eV/cell.